Here is a geometry-optimized Ho4Sc5 structure from the Alexandria database. Energies are from PBE.

Lattice parameters (Å, degrees): 7.5410 7.5410 7.5410 95.81 95.81 142.89
Atoms (fractional coordinates):
Ho: 0.0000 0.3265 0.3265
Ho: 0.0000 0.6735 0.6735
Ho: 0.3265 0.0000 0.3265
Ho: 0.6735 0.0000 0.6735
Sc: 0.0000 0.0000 0.0000
Sc: 0.3365 0.3365 0.6729
Sc: 0.3365 0.6635 0.0000
Sc: 0.6635 0.3365 0.0000
Sc: 0.6635 0.6635 0.3271

Properties
**E above lowest polymorph**: 0.0 kJ/mol of formula units
**Calculated volume**: 27.3 A^3/atom
**Space-group type**: I4/mmm
**Formation energy from the elements**: 0.0526 eV per atom